A plane-wave DFT calculation with PBE was carried out for a relaxed Ho6GeAs2Se3 crystal.

Cell: 4.096 8.191 9.167 Å, 103.04 102.91 90.00°
Positions (direct):
1 Ho 0.669 0.576 0.338
2 As 0.833 0.666 0.666
3 Se 0.832 0.168 0.664
4 Ho 0.002 0.240 0.004
5 Se 0.168 0.832 0.336
6 Ho 0.998 0.760 0.996
7 As 0.167 0.334 0.334
8 Ge 0.500 0.000 0.000
9 Ho 0.331 0.424 0.662
10 Se 0.500 0.500 0.000
11 Ho 0.338 0.912 0.676
12 Ho 0.662 0.088 0.324

Results
As for the space group: C2/m, No. 12. The formation energy without anion corrections comes out at -1853 kJ/mol of formula units. The total energy is -71.04 eV for the cell shown. The total magnetic moment comes out at 0.00 μB per atom.